1.
Computed, not measured: a relaxed Tb4TcSn crystal at the PBE level of DFT.

Cell lengths 8.0365, 8.0365, 6.1710 Å; angles 101.91, 101.91, 113.31 degrees
Last column: nearest neighbours and their distance in Å.
Positions (direct):
Tb: 0.0584 0.7204 0.9408  2 Tc 2.88-2.90
Tb: 0.2083 0.3520 0.6448  2 Tc 2.91-2.94, 1 Sn 3.22
Tb: 0.2796 0.9416 0.5592  2 Tc 2.88-2.90
Tb: 0.3520 0.2083 0.1448  2 Tc 2.91-2.94, 1 Sn 3.22
Tb: 0.6480 0.7917 0.8552  2 Tc 2.91-2.94, 1 Sn 3.22
Tb: 0.7204 0.0584 0.4408  2 Tc 2.88-2.90
Tb: 0.7917 0.6480 0.3552  2 Tc 2.91-2.94, 1 Sn 3.22
Tb: 0.9416 0.2796 0.0592  2 Tc 2.88-2.90
Tc: 0.0007 0.9993 0.2500  8 Tb 2.88-2.94, 2 Tc 3.09
Tc: 0.9993 0.0007 0.7500  8 Tb 2.88-2.94, 2 Tc 3.09
Sn: 0.3729 0.6271 0.2500  8 Tb 3.22-3.58
Sn: 0.6271 0.3729 0.7500  8 Tb 3.22-3.58

Computed properties:
- Energy of formation: -0.348 eV/atom
- Calculated density: 8.345 Mg/m³
- Electronic total energy: -5.8294 eV/atom
- SG: C2/c, No. 15



2.
Computed, not measured: a relaxed Tb2SnTe crystal at the PBE level of DFT.

Cell lengths 3.6756, 3.6756, 8.1077 Å; angles 90.00, 90.00, 90.00 degrees
Last column: nearest neighbours and their distance in Å.
Positions (direct):
Tb: 0.0000 0.0000 0.2430  4 Te 3.26, 4 Sn 3.33
Tb: 0.0000 0.0000 0.7570  4 Te 3.26, 4 Sn 3.33
Sn: 0.5000 0.5000 0.5000  8 Tb 3.33, 4 Sn 3.68
Te: 0.5000 0.5000 0.0000  8 Tb 3.26

Computed properties:
- Calculated density: 8.553 Mg/m³
- Electronic total energy: -4.9779 eV/atom
- Uncorrected formation energy: -338 kJ/mol of formula units
- SG: P4/mmm, No. 123
- Excess energy over the best structure of this formula in the dataset: 203 meV per atom



3.
Computed, not measured: a relaxed TbSnTe crystal at the PBE level of DFT.

Cell lengths 8.6374, 8.6374, 8.6374 Å; angles 34.71, 34.71, 34.71 degrees
Last column: nearest neighbours and their distance in Å.
Positions (direct):
Tb: 0.0775 0.0775 0.0775  4 Te 3.13-3.37, 3 Sn 3.30
Tb: 0.9225 0.9225 0.9225  4 Te 3.13-3.37, 3 Sn 3.30
Sn: 0.3517 0.3517 0.3517  3 Sn 3.11, 1 Te 3.30, 3 Tb 3.30
Sn: 0.6483 0.6483 0.6483  3 Sn 3.11, 1 Te 3.30, 3 Tb 3.30
Te: 0.2160 0.2160 0.2160  4 Tb 3.13-3.37, 1 Sn 3.30
Te: 0.7840 0.7840 0.7840  4 Tb 3.13-3.37, 1 Sn 3.30

Computed properties:
- Calculated density: 7.219 Mg/m³
- Electronic total energy: -4.6425 eV/atom
- Uncorrected formation energy: -208 kJ/mol of formula units
- SG: R-3m, No. 166



4.
Computed, not measured: a relaxed Tb6SnTe5 crystal at the PBE level of DFT.

Cell lengths 7.5827, 7.5827, 7.6205 Å; angles 99.52, 99.52, 119.92 degrees
Last column: nearest neighbours and their distance in Å.
Positions (direct):
Tb: 0.0800 0.4049 0.7429  1 Sn 3.02, 5 Te 3.10-3.16
Tb: 0.2412 0.2412 0.2547  1 Sn 3.02, 5 Te 3.11-3.19
Tb: 0.4049 0.0800 0.7429  1 Sn 3.02, 5 Te 3.10-3.16
Tb: 0.5951 0.9200 0.2571  1 Sn 3.02, 5 Te 3.10-3.16
Tb: 0.7588 0.7588 0.7453  1 Sn 3.02, 5 Te 3.11-3.19
Tb: 0.9200 0.5951 0.2571  1 Sn 3.02, 5 Te 3.10-3.16
Sn: 0.0000 0.0000 0.5000  6 Tb 3.02
Te: 0.1700 0.8300 0.0000  6 Tb 3.10-3.16
Te: 0.3342 0.6658 0.5000  6 Tb 3.11
Te: 0.5000 0.5000 0.0000  6 Tb 3.11-3.19
Te: 0.6658 0.3342 0.5000  6 Tb 3.11
Te: 0.8300 0.1700 0.0000  6 Tb 3.10-3.16

Computed properties:
- Calculated density: 7.924 Mg/m³
- Electronic total energy: -5.2176 eV/atom
- Uncorrected formation energy: -1459 kJ/mol of formula units
- SG: C2/m, No. 12



5.
Computed, not measured: a relaxed Tb3SnTe2 crystal at the PBE level of DFT.

Cell lengths 7.6205, 7.6205, 7.6106 Å; angles 99.65, 99.65, 119.93 degrees
Last column: nearest neighbours and their distance in Å.
Positions (direct):
Tb: 0.0000 0.5000 0.0000  2 Sn 3.07, 4 Te 3.11-3.12
Tb: 0.1575 0.3157 0.4977  2 Sn 3.05-3.06, 4 Te 3.11-3.18
Tb: 0.3157 0.1575 0.9977  2 Sn 3.05-3.06, 4 Te 3.11-3.18
Tb: 0.5000 0.0000 0.5000  2 Sn 3.07, 4 Te 3.11-3.12
Tb: 0.6843 0.8425 0.0023  2 Sn 3.05-3.06, 4 Te 3.11-3.18
Tb: 0.8425 0.6843 0.5023  2 Sn 3.05-3.06, 4 Te 3.11-3.18
Sn: 0.0870 0.9130 0.2500  6 Tb 3.05-3.07
Sn: 0.9130 0.0870 0.7500  6 Tb 3.05-3.07
Te: 0.2539 0.7461 0.7500  6 Tb 3.11-3.16
Te: 0.4176 0.5824 0.2500  6 Tb 3.11-3.18
Te: 0.5824 0.4176 0.7500  6 Tb 3.11-3.18
Te: 0.7461 0.2539 0.2500  6 Tb 3.11-3.16

Computed properties:
- Calculated density: 7.828 Mg/m³
- Electronic total energy: -5.2226 eV/atom
- Uncorrected formation energy: -691 kJ/mol of formula units
- SG: C2/c, No. 15
- Excess energy over the best structure of this formula in the dataset: 0 meV per atom



6.
Computed, not measured: a relaxed TbSn3Te6 crystal at the PBE level of DFT.

Cell lengths 12.7705, 4.3019, 12.9971 Å; angles 90.00, 112.52, 90.00 degrees
Last column: nearest neighbours and their distance in Å.
Positions (direct):
Tb: 0.2064 0.2500 0.0503  8 Te 3.18-3.26
Tb: 0.7936 0.7500 0.9497  8 Te 3.18-3.26
Sn: 0.0489 0.7500 0.2939  6 Te 2.95-3.20
Sn: 0.3451 0.2500 0.4584  4 Te 3.00-3.27
Sn: 0.3850 0.7500 0.8367  6 Te 2.97-3.32
Sn: 0.6150 0.2500 0.1633  6 Te 2.97-3.32
Sn: 0.6549 0.7500 0.5416  4 Te 3.00-3.27
Sn: 0.9511 0.2500 0.7061  6 Te 2.95-3.20
Te: 0.0247 0.7500 0.9036  2 Sn 3.20, 3 Tb 3.20-3.23, 2 Te 3.54
Te: 0.1133 0.2500 0.4678  3 Sn 3.00-3.01
Te: 0.2145 0.2500 0.8024  3 Sn 2.97-3.11, 1 Tb 3.26
Te: 0.2556 0.7500 0.2438  1 Sn 2.95, 2 Tb 3.18
Te: 0.4007 0.7500 0.0718  3 Sn 2.98-3.32, 2 Tb 3.21
Te: 0.4459 0.7500 0.6281  4 Sn 3.00-3.27
Te: 0.5541 0.2500 0.3719  4 Sn 3.00-3.27
Te: 0.5993 0.2500 0.9282  3 Sn 2.98-3.32, 2 Tb 3.21
Te: 0.7444 0.2500 0.7562  1 Sn 2.95, 2 Tb 3.18
Te: 0.7855 0.7500 0.1976  3 Sn 2.97-3.11, 1 Tb 3.26
Te: 0.8867 0.7500 0.5322  3 Sn 3.00-3.01
Te: 0.9753 0.2500 0.0964  2 Sn 3.20, 3 Tb 3.20-3.23, 2 Te 3.54

Computed properties:
- Calculated density: 6.448 Mg/m³
- Electronic total energy: -4.0183 eV/atom
- Uncorrected formation energy: -453 kJ/mol of formula units
- SG: P2_1/m, No. 11



7.
Computed, not measured: a relaxed TbSn5Te7 crystal at the PBE level of DFT.

Cell lengths 7.8314, 7.8314, 26.0697 Å; angles 90.00, 90.00, 147.45 degrees
Last column: nearest neighbours and their distance in Å.
Positions (direct):
Tb: 0.2075 0.7925 0.5000  7 Te 3.10-3.28
Tb: 0.7925 0.2075 0.0000  7 Te 3.10-3.28
Sn: 0.0126 0.9874 0.2600  5 Te 3.02-3.17
Sn: 0.2573 0.7427 0.8363  6 Te 3.04-3.25
Sn: 0.2863 0.7137 0.1866  6 Te 3.07-3.24
Sn: 0.4431 0.5569 0.6118  6 Te 3.11-3.25
Sn: 0.4749 0.5251 0.4117  6 Te 3.01-3.28
Sn: 0.5251 0.4749 0.9117  6 Te 3.01-3.28
Sn: 0.5569 0.4431 0.1118  6 Te 3.11-3.25
Sn: 0.7137 0.2863 0.6866  6 Te 3.07-3.24
Sn: 0.7427 0.2573 0.3363  6 Te 3.04-3.25
Sn: 0.9874 0.0126 0.7600  5 Te 3.02-3.17
Te: 0.0730 0.9270 0.6551  5 Sn 3.02-3.16
Te: 0.1175 0.8825 0.3853  4 Sn 3.14-3.16, 1 Tb 3.28
Te: 0.1735 0.8265 0.9423  3 Sn 3.04-3.23, 2 Tb 3.21
Te: 0.2053 0.7947 0.0784  3 Sn 3.07-3.25, 2 Tb 3.27
Te: 0.3494 0.6506 0.7236  6 Sn 3.15-3.25
Te: 0.3773 0.6227 0.2992  6 Sn 3.14-3.28
Te: 0.4360 0.5640 0.0152  2 Sn 3.01-3.11, 2 Tb 3.10
Te: 0.5640 0.4360 0.5152  2 Sn 3.01-3.11, 2 Tb 3.10
Te: 0.6227 0.3773 0.7992  6 Sn 3.14-3.28
Te: 0.6506 0.3494 0.2236  6 Sn 3.15-3.25
Te: 0.7947 0.2053 0.5784  3 Sn 3.07-3.25, 2 Tb 3.27
Te: 0.8265 0.1735 0.4423  3 Sn 3.04-3.23, 2 Tb 3.21
Te: 0.8825 0.1175 0.8853  4 Sn 3.14-3.16, 1 Tb 3.28
Te: 0.9270 0.0730 0.1551  5 Sn 3.02-3.16

Computed properties:
- Calculated density: 6.353 Mg/m³
- Electronic total energy: -4.0494 eV/atom
- Uncorrected formation energy: -580 kJ/mol of formula units
- SG: Cmc2_1, No. 36



8.
Computed, not measured: a relaxed Tb3SnTe2 crystal at the PBE level of DFT.

Cell lengths 7.6040, 7.6040, 7.6040 Å; angles 146.22, 131.83, 60.12 degrees
Last column: nearest neighbours and their distance in Å.
Positions (direct):
Tb: 0.0000 0.0000 0.0000  2 Sn 3.10, 4 Te 3.14
Tb: 0.3408 0.3408 0.0000  2 Sn 3.04, 4 Te 3.11-3.16
Tb: 0.6592 0.6592 0.0000  2 Sn 3.04, 4 Te 3.11-3.16
Sn: 0.5000 0.0000 0.5000  6 Tb 3.04-3.10
Te: 0.1690 0.6690 0.5000  6 Tb 3.11-3.16
Te: 0.8310 0.3310 0.5000  6 Tb 3.11-3.16

Computed properties:
- Calculated density: 7.828 Mg/m³
- Electronic total energy: -5.2180 eV/atom
- Uncorrected formation energy: -688 kJ/mol of formula units
- SG: Immm, No. 71
- Excess energy over the best structure of this formula in the dataset: 5 meV per atom



9.
Computed, not measured: a relaxed TbSnTe2 crystal at the PBE level of DFT.

Cell lengths 12.3262, 12.3262, 4.9660 Å; angles 90.00, 90.00, 160.92 degrees
Last column: nearest neighbours and their distance in Å.
Positions (direct):
Tb: 0.0529 0.9471 0.7500  7 Te 3.13-3.34
Tb: 0.9471 0.0529 0.2500  7 Te 3.13-3.34
Sn: 0.3124 0.6876 0.7500  6 Te 3.18-3.22
Sn: 0.6876 0.3124 0.2500  6 Te 3.18-3.22
Te: 0.1818 0.8182 0.7500  1 Tb 3.13, 5 Sn 3.18-3.22
Te: 0.4441 0.5559 0.7500  1 Sn 3.20, 6 Tb 3.22-3.34
Te: 0.5559 0.4441 0.2500  1 Sn 3.20, 6 Tb 3.22-3.34
Te: 0.8182 0.1818 0.2500  1 Tb 3.13, 5 Sn 3.18-3.22

Computed properties:
- Calculated density: 7.175 Mg/m³
- Electronic total energy: -4.4379 eV/atom
- Uncorrected formation energy: -274 kJ/mol of formula units
- SG: Cmcm, No. 63



10.
Computed, not measured: a relaxed Tb5SnTe4 crystal at the PBE level of DFT.

Cell lengths 7.6069, 7.6069, 7.6069 Å; angles 99.51, 99.51, 132.03 degrees
Last column: nearest neighbours and their distance in Å.
Positions (direct):
Tb: 0.0000 0.0000 0.0000  2 Sn 3.09, 4 Te 3.12
Tb: 0.2087 0.4006 0.6093  1 Sn 3.03, 5 Te 3.09-3.16
Tb: 0.4006 0.7913 0.1919  1 Sn 3.03, 5 Te 3.09-3.16
Tb: 0.5994 0.2087 0.8081  1 Sn 3.03, 5 Te 3.09-3.16
Tb: 0.7913 0.5994 0.3907  1 Sn 3.03, 5 Te 3.09-3.16
Sn: 0.5000 0.5000 0.0000  6 Tb 3.03-3.09
Te: 0.0970 0.6975 0.7945  6 Tb 3.09-3.16
Te: 0.3025 0.0970 0.3995  6 Tb 3.09-3.16
Te: 0.6975 0.9030 0.6005  6 Tb 3.09-3.16
Te: 0.9030 0.3025 0.2055  6 Tb 3.09-3.16

Computed properties:
- Calculated density: 7.914 Mg/m³
- Electronic total energy: -5.2187 eV/atom
- Uncorrected formation energy: -1203 kJ/mol of formula units
- SG: I4/m, No. 87